Record 1
An optimized crystal structure of Co2CuIr. Source: Alexandria via LeMat-Bulk, functional PBE-GGA.

Calculated values
- Magnetization: 1.08 μB/cell
- Electronic total energy: -53.084 eV/cell
- SG: I4/mmm, No. 139
- N(E_F): 12.5 states/eV/cell
- Energy relative to the elements: 0.16 eV per atom

Cell lengths 3.6180, 3.6180, 7.2319 Å; angles 90.00, 90.00, 90.00 degrees
Closest atoms and distances in Å follow each position.
Positions (direct):
Co1 0.0000 0.5000 0.2500  4 Ir 2.56, 4 Cu 2.56, 4 Co 2.56
Co2 0.0000 0.5000 0.7500  4 Cu 2.56, 4 Ir 2.56, 4 Co 2.56
Co3 0.5000 0.0000 0.2500  4 Ir 2.56, 4 Cu 2.56, 4 Co 2.56
Co4 0.5000 0.0000 0.7500  4 Cu 2.56, 4 Ir 2.56, 4 Co 2.56
Cu1 0.0000 0.0000 0.0000  8 Co 2.56, 4 Ir 2.56
Cu2 0.5000 0.5000 0.5000  8 Co 2.56, 4 Ir 2.56
Ir1 0.0000 0.0000 0.5000  8 Co 2.56, 4 Cu 2.56
Ir2 0.5000 0.5000 0.0000  8 Co 2.56, 4 Cu 2.56

Record 2
An optimized crystal structure of CoCuIr2. Source: Alexandria via LeMat-Bulk, functional PBE-GGA.

Calculated values
- Offset from the most stable computed form: 185 meV per atom
- Magnetization: 2.65 μB/cell
- Electronic total energy: -27.915 eV/cell
- SG: P2/m, No. 10
- N(E_F): 6.4 states/eV/cell
- Energy relative to the elements: 0.25 eV per atom

Cell lengths 2.6531, 4.3890, 4.6803 Å; angles 90.00, 91.48, 90.00 degrees
Closest atoms and distances in Å follow each position.
Positions (direct):
Co1 0.0000 0.0000 0.0000  4 Ir 2.58, 2 Co 2.65, 4 Cu 2.66-2.72
Cu1 0.5000 0.0000 0.5000  4 Ir 2.58, 2 Cu 2.65, 4 Co 2.66-2.72
Ir1 0.2478 0.5000 0.7492  2 Cu 2.58, 2 Co 2.58, 6 Ir 2.65-2.72
Ir2 0.7522 0.5000 0.2508  2 Cu 2.58, 2 Co 2.58, 6 Ir 2.65-2.72

Record 3
An optimized crystal structure of CoCuIr2. Source: Alexandria via LeMat-Bulk, functional PBE-GGA.

Calculated values
- Offset from the most stable computed form: 17 meV per atom
- Magnetization: 4.69 μB/cell
- Electronic total energy: -57.166 eV/cell
- SG: C2/m, No. 12
- N(E_F): 11.8 states/eV/cell
- Energy relative to the elements: 0.09 eV per atom

Cell lengths 8.6552, 2.6869, 4.6490 Å; angles 90.00, 100.48, 90.00 degrees
Closest atoms and distances in Å follow each position.
Positions (direct):
Co1 0.0000 0.0000 0.0000  6 Ir 2.59-2.67, 4 Cu 2.68, 2 Co 2.69
Co2 0.5000 0.5000 0.0000  6 Ir 2.59-2.67, 4 Cu 2.68, 2 Co 2.69
Cu1 0.0000 0.5000 0.5000  6 Ir 2.60-2.67, 4 Co 2.68, 2 Cu 2.69
Cu2 0.5000 0.0000 0.5000  6 Ir 2.60-2.67, 4 Co 2.68, 2 Cu 2.69
Ir1 0.2447 0.5000 0.2465  3 Co 2.59-2.67, 3 Cu 2.60-2.67, 6 Ir 2.67-2.70
Ir2 0.2553 0.0000 0.7535  3 Co 2.59-2.67, 3 Cu 2.60-2.67, 6 Ir 2.67-2.70
Ir3 0.7447 0.0000 0.2465  3 Co 2.59-2.67, 3 Cu 2.60-2.67, 6 Ir 2.67-2.70
Ir4 0.7553 0.5000 0.7535  3 Co 2.59-2.67, 3 Cu 2.60-2.67, 6 Ir 2.67-2.70

Record 4
An optimized crystal structure of Co2CuIr. Source: Alexandria via LeMat-Bulk, functional PBE-GGA.

Calculated values
- Magnetization: 8.08 μB/cell
- Electronic total energy: -52.588 eV/cell
- SG: Cmm2, No. 35
- N(E_F): 9.3 states/eV/cell
- Energy relative to the elements: 0.22 eV per atom

Cell lengths 2.6956, 4.3880, 8.5800 Å; angles 90.00, 90.00, 90.00 degrees
Closest atoms and distances in Å follow each position.
Positions (direct):
Co1 0.0000 0.0000 0.0000  6 Co 2.39-2.57, 2 Cu 2.51
Co2 0.0000 0.5000 0.2302  6 Co 2.39-2.57, 2 Ir 2.59
Co3 0.5000 0.0000 0.2302  6 Co 2.39-2.57, 2 Ir 2.59
Co4 0.5000 0.5000 0.0000  6 Co 2.39-2.57, 2 Cu 2.51
Cu1 0.0000 0.5000 0.7538  2 Co 2.51, 6 Cu 2.57-2.70, 2 Ir 2.65
Cu2 0.5000 0.0000 0.7538  2 Co 2.51, 6 Cu 2.57-2.70, 2 Ir 2.65
Ir1 0.0000 0.0000 0.4878  6 Ir 2.57-2.70, 2 Co 2.59, 2 Cu 2.65
Ir2 0.5000 0.5000 0.4878  6 Ir 2.57-2.70, 2 Co 2.59, 2 Cu 2.65

Record 5
An optimized crystal structure of Co2CuIr. Source: Alexandria via LeMat-Bulk, functional PBE-GGA.

Calculated values
- Magnetization: 7.26 μB/cell
- Electronic total energy: -53.513 eV/cell
- SG: Cm, No. 8
- N(E_F): 9.9 states/eV/cell
- Energy relative to the elements: 0.10 eV per atom

Cell lengths 8.5966, 2.6153, 4.4455 Å; angles 90.00, 101.13, 90.00 degrees
Closest atoms and distances in Å follow each position.
Positions (direct):
Co1 0.0000 0.0000 0.0000  5 Co 2.52-2.67, 3 Cu 2.55-2.59, 4 Ir 2.56-2.60
Co2 0.2413 0.5000 0.2477  5 Co 2.52-2.67, 4 Cu 2.54-2.62, 3 Ir 2.56-2.60
Co3 0.5000 0.5000 0.0000  5 Co 2.52-2.67, 3 Cu 2.55-2.59, 4 Ir 2.56-2.60
Co4 0.7413 0.0000 0.2477  5 Co 2.52-2.67, 4 Cu 2.54-2.62, 3 Ir 2.56-2.60
Cu1 0.2463 0.0000 0.7597  7 Co 2.54-2.62, 3 Ir 2.60-2.64, 2 Cu 2.62
Cu2 0.7463 0.5000 0.7597  7 Co 2.54-2.62, 3 Ir 2.60-2.64, 2 Cu 2.62
Ir1 0.4898 0.0000 0.4906  7 Co 2.56-2.60, 3 Cu 2.60-2.64, 2 Ir 2.62
Ir2 0.9898 0.5000 0.4906  7 Co 2.56-2.60, 3 Cu 2.60-2.64, 2 Ir 2.62

Record 6
An optimized crystal structure of CoCu2Ir. Source: Alexandria via LeMat-Bulk, functional PBE-GGA.

Calculated values
- Offset from the most stable computed form: 12 meV per atom
- Magnetization: 5.22 μB/cell
- Electronic total energy: -71.190 eV/cell
- SG: R3m, No. 160
- N(E_F): 16.2 states/eV/cell
- Energy relative to the elements: 0.11 eV per atom

Cell lengths 2.6388, 2.6388, 25.2250 Å; angles 90.00, 90.00, 120.00 degrees
Closest atoms and distances in Å follow each position.
Positions (direct):
Co1 0.0000 0.0000 0.0000  3 Cu 2.55, 3 Ir 2.58, 6 Co 2.64
Co2 0.3333 0.6667 0.6667  3 Cu 2.55, 3 Ir 2.58, 6 Co 2.64
Co3 0.6667 0.3333 0.3333  3 Cu 2.55, 3 Ir 2.58, 6 Co 2.64
Cu1 0.0000 0.0000 0.2521  3 Co 2.55, 9 Cu 2.56-2.64
Cu2 0.0000 0.0000 0.5040  9 Cu 2.56-2.64, 3 Ir 2.70
Cu3 0.3333 0.6667 0.1707  9 Cu 2.56-2.64, 3 Ir 2.70
Cu4 0.3333 0.6667 0.9188  3 Co 2.55, 9 Cu 2.56-2.64
Cu5 0.6667 0.3333 0.5855  3 Co 2.55, 9 Cu 2.56-2.64
Cu6 0.6667 0.3333 0.8374  9 Cu 2.56-2.64, 3 Ir 2.70
Ir1 0.0000 0.0000 0.7490  3 Co 2.58, 6 Ir 2.64, 3 Cu 2.70
Ir2 0.3333 0.6667 0.4157  3 Co 2.58, 6 Ir 2.64, 3 Cu 2.70
Ir3 0.6667 0.3333 0.0823  3 Co 2.58, 6 Ir 2.64, 3 Cu 2.70

Record 7
An optimized crystal structure of Co2CuIr. Source: Alexandria via LeMat-Bulk, functional PBE-GGA.

Calculated values
- Magnetization: 8.50 μB/cell
- Electronic total energy: -53.205 eV/cell
- SG: I-4m2, No. 119
- N(E_F): 11.5 states/eV/cell
- Energy relative to the elements: 0.14 eV per atom

Cell lengths 3.6548, 3.6548, 7.3669 Å; angles 90.00, 90.00, 90.00 degrees
Closest atoms and distances in Å follow each position.
Positions (direct):
Co1 0.0000 0.0000 0.0000  4 Ir 2.58, 4 Cu 2.59, 4 Co 2.59
Co2 0.0000 0.5000 0.2500  4 Cu 2.58, 4 Co 2.59, 4 Ir 2.59
Co3 0.5000 0.0000 0.7500  4 Cu 2.58, 4 Co 2.59, 4 Ir 2.59
Co4 0.5000 0.5000 0.5000  4 Ir 2.58, 4 Cu 2.59, 4 Co 2.59
Cu1 0.0000 0.5000 0.7500  8 Co 2.58-2.59, 4 Ir 2.59
Cu2 0.5000 0.0000 0.2500  8 Co 2.58-2.59, 4 Ir 2.59
Ir1 0.0000 0.0000 0.5000  8 Co 2.58-2.59, 4 Cu 2.59
Ir2 0.5000 0.5000 0.0000  8 Co 2.58-2.59, 4 Cu 2.59

Record 8
An optimized crystal structure of Co2CuIr. Source: Alexandria via LeMat-Bulk, functional PBE-GGA.

Calculated values
- Magnetization: 18.41 μB/cell
- Electronic total energy: -105.378 eV/cell
- SG: F-43m, No. 216
- N(E_F): 19.5 states/eV/cell
- Energy relative to the elements: 0.21 eV per atom

Cell lengths 5.8389, 5.8389, 5.8389 Å; angles 90.00, 90.00, 90.00 degrees
Closest atoms and distances in Å follow each position.
Positions (direct):
Co1 0.0000 0.0000 0.0000  4 Co 2.53, 4 Cu 2.53
Co2 0.0000 0.5000 0.5000  4 Co 2.53, 4 Cu 2.53
Co3 0.2500 0.2500 0.2500  4 Co 2.53, 4 Ir 2.53
Co4 0.2500 0.7500 0.7500  4 Co 2.53, 4 Ir 2.53
Co5 0.5000 0.0000 0.5000  4 Co 2.53, 4 Cu 2.53
Co6 0.5000 0.5000 0.0000  4 Co 2.53, 4 Cu 2.53
Co7 0.7500 0.2500 0.7500  4 Co 2.53, 4 Ir 2.53
Co8 0.7500 0.7500 0.2500  4 Co 2.53, 4 Ir 2.53
Cu1 0.2500 0.2500 0.7500  4 Co 2.53, 4 Ir 2.53
Cu2 0.2500 0.7500 0.2500  4 Co 2.53, 4 Ir 2.53
Cu3 0.7500 0.2500 0.2500  4 Co 2.53, 4 Ir 2.53
Cu4 0.7500 0.7500 0.7500  4 Co 2.53, 4 Ir 2.53
Ir1 0.0000 0.0000 0.5000  4 Co 2.53, 4 Cu 2.53
Ir2 0.0000 0.5000 0.0000  4 Co 2.53, 4 Cu 2.53
Ir3 0.5000 0.0000 0.0000  4 Co 2.53, 4 Cu 2.53
Ir4 0.5000 0.5000 0.5000  4 Co 2.53, 4 Cu 2.53

Record 9
An optimized crystal structure of CoCu2Ir. Source: Alexandria via LeMat-Bulk, functional PBE-GGA.

Calculated values
- Offset from the most stable computed form: 52 meV per atom
- Magnetization: 5.13 μB/cell
- Electronic total energy: -70.713 eV/cell
- SG: R-3m, No. 166
- N(E_F): 10.0 states/eV/cell
- Energy relative to the elements: 0.15 eV per atom

Cell lengths 2.6133, 2.6133, 25.7270 Å; angles 90.00, 90.00, 120.00 degrees
Closest atoms and distances in Å follow each position.
Positions (direct):
Co1 0.0000 0.0000 0.0000  6 Cu 2.55, 6 Co 2.61
Co2 0.3333 0.6667 0.6667  6 Cu 2.55, 6 Co 2.61
Co3 0.6667 0.3333 0.3333  6 Cu 2.55, 6 Co 2.61
Cu1 0.0000 0.0000 0.2536  3 Co 2.55, 6 Cu 2.61, 3 Ir 2.70
Cu2 0.0000 0.0000 0.7464  3 Co 2.55, 6 Cu 2.61, 3 Ir 2.70
Cu3 0.3333 0.6667 0.4130  3 Co 2.55, 6 Cu 2.61, 3 Ir 2.70
Cu4 0.3333 0.6667 0.9203  3 Co 2.55, 6 Cu 2.61, 3 Ir 2.70
Cu5 0.6667 0.3333 0.0797  3 Co 2.55, 6 Cu 2.61, 3 Ir 2.70
Cu6 0.6667 0.3333 0.5870  3 Co 2.55, 6 Cu 2.61, 3 Ir 2.70
Ir1 0.0000 0.0000 0.5000  6 Ir 2.61, 6 Cu 2.70
Ir2 0.3333 0.6667 0.1667  6 Ir 2.61, 6 Cu 2.70
Ir3 0.6667 0.3333 0.8333  6 Ir 2.61, 6 Cu 2.70

Record 10
An optimized crystal structure of CoCu2Ir. Source: Alexandria via LeMat-Bulk, functional PBE-GGA.

Calculated values
- Offset from the most stable computed form: 75 meV per atom
- Magnetization: 2.86 μB/cell
- Electronic total energy: -23.481 eV/cell
- SG: P4/mmm, No. 123
- N(E_F): 4.6 states/eV/cell
- Energy relative to the elements: 0.17 eV per atom

Cell lengths 3.6066, 3.6066, 3.8615 Å; angles 90.00, 90.00, 90.00 degrees
Closest atoms and distances in Å follow each position.
Positions (direct):
Co1 0.0000 0.0000 0.0000  4 Ir 2.55, 8 Cu 2.64
Cu1 0.0000 0.5000 0.5000  4 Cu 2.55, 4 Co 2.64, 4 Ir 2.64
Cu2 0.5000 0.0000 0.5000  4 Cu 2.55, 4 Co 2.64, 4 Ir 2.64
Ir1 0.5000 0.5000 0.0000  4 Co 2.55, 8 Cu 2.64

Record 11
An optimized crystal structure of Co2CuIr. Source: Alexandria via LeMat-Bulk, functional PBE-GGA.

Calculated values
- Magnetization: 4.04 μB/cell
- Electronic total energy: -26.608 eV/cell
- SG: P2/m, No. 10
- N(E_F): 5.2 states/eV/cell
- Energy relative to the elements: 0.14 eV per atom

Cell lengths 4.4389, 2.6368, 4.4468 Å; angles 90.00, 108.48, 90.00 degrees
Closest atoms and distances in Å follow each position.
Positions (direct):
Co1 0.0000 0.0000 0.0000  6 Co 2.58-2.64, 4 Cu 2.58, 2 Ir 2.60
Co2 0.5000 0.5000 0.0000  6 Co 2.58-2.64, 4 Ir 2.58, 2 Cu 2.60
Cu1 0.0000 0.5000 0.5000  4 Ir 2.58, 6 Co 2.58-2.60, 2 Cu 2.64
Ir1 0.5000 0.0000 0.5000  4 Cu 2.58, 6 Co 2.58-2.60, 2 Ir 2.64

Record 12
An optimized crystal structure of CoCu2Ir. Source: Alexandria via LeMat-Bulk, functional PBE-GGA.

Calculated values
- Offset from the most stable computed form: 70 meV per atom
- Magnetization: 2.07 μB/cell
- Electronic total energy: -23.501 eV/cell
- SG: Pmmm, No. 47
- N(E_F): 4.4 states/eV/cell
- Energy relative to the elements: 0.16 eV per atom

Cell lengths 2.7027, 4.2867, 4.3642 Å; angles 90.00, 90.00, 90.00 degrees
Closest atoms and distances in Å follow each position.
Positions (direct):
Co1 0.0000 0.0000 0.0000  4 Ir 2.53, 4 Cu 2.57, 2 Co 2.70
Cu1 0.0000 0.5000 0.5000  6 Cu 2.53-2.70, 4 Ir 2.57
Cu2 0.5000 0.0000 0.5000  6 Cu 2.53-2.70, 4 Co 2.57
Ir1 0.5000 0.5000 0.0000  4 Co 2.53, 4 Cu 2.57, 2 Ir 2.70

Record 13
An optimized crystal structure of CoCu2Ir. Source: Alexandria via LeMat-Bulk, functional PBE-GGA.

Calculated values
- Offset from the most stable computed form: 406 meV per atom
- Magnetization: 10.09 μB/cell
- Electronic total energy: -88.613 eV/cell
- SG: I-42d, No. 122
- N(E_F): 17.5 states/eV/cell
- Energy relative to the elements: 0.50 eV per atom

Cell lengths 3.4975, 3.4975, 17.8755 Å; angles 90.00, 90.00, 90.00 degrees
Closest atoms and distances in Å follow each position.
Positions (direct):
Co1 0.0000 0.0000 0.0000  4 Ir 2.47, 4 Cu 2.55
Co2 0.0000 0.5000 0.2500  4 Ir 2.47, 4 Cu 2.55
Co3 0.5000 0.0000 0.7500  4 Ir 2.47, 4 Cu 2.55
Co4 0.5000 0.5000 0.5000  4 Ir 2.47, 4 Cu 2.55
Cu1 0.2467 0.2500 0.1250  4 Cu 2.46-2.49, 2 Co 2.55, 2 Ir 2.56
Cu2 0.2500 0.7467 0.3750  4 Cu 2.46-2.49, 2 Co 2.55, 2 Ir 2.56
Cu3 0.2500 0.7533 0.8750  4 Cu 2.46-2.49, 2 Co 2.55, 2 Ir 2.56
Cu4 0.2533 0.2500 0.6250  4 Cu 2.46-2.49, 2 Co 2.55, 2 Ir 2.56
Cu5 0.7467 0.7500 0.6250  4 Cu 2.46-2.49, 2 Co 2.55, 2 Ir 2.56
Cu6 0.7500 0.2467 0.8750  4 Cu 2.46-2.49, 2 Co 2.55, 2 Ir 2.56
Cu7 0.7500 0.2533 0.3750  4 Cu 2.46-2.49, 2 Co 2.55, 2 Ir 2.56
Cu8 0.7533 0.7500 0.1250  4 Cu 2.46-2.49, 2 Co 2.55, 2 Ir 2.56
Ir1 0.0000 0.0000 0.5000  4 Co 2.47, 4 Cu 2.56
Ir2 0.0000 0.5000 0.7500  4 Co 2.47, 4 Cu 2.56
Ir3 0.5000 0.0000 0.2500  4 Co 2.47, 4 Cu 2.56
Ir4 0.5000 0.5000 0.0000  4 Co 2.47, 4 Cu 2.56

Record 14
An optimized crystal structure of CoCuIr. Source: Alexandria via LeMat-Bulk, functional PBE-GGA.

Calculated values
- Offset from the most stable computed form: 138 meV per atom
- Magnetization: 9.66 μB/cell
- Electronic total energy: -77.385 eV/cell
- SG: Fmm2, No. 42
- N(E_F): 15.0 states/eV/cell
- Energy relative to the elements: 0.24 eV per atom

Cell lengths 2.7128, 4.4629, 13.0337 Å; angles 90.00, 90.00, 90.00 degrees
Closest atoms and distances in Å follow each position.
Positions (direct):
Co1 0.0000 0.0000 0.0000  2 Cu 2.50, 2 Ir 2.54, 6 Co 2.61-2.71
Co2 0.0000 0.5000 0.5000  2 Cu 2.50, 2 Ir 2.54, 6 Co 2.61-2.71
Co3 0.5000 0.0000 0.5000  2 Cu 2.50, 2 Ir 2.54, 6 Co 2.61-2.71
Co4 0.5000 0.5000 0.0000  2 Cu 2.50, 2 Ir 2.54, 6 Co 2.61-2.71
Cu1 0.0000 0.0000 0.3392  2 Co 2.50, 6 Cu 2.61-2.71, 2 Ir 2.65
Cu2 0.0000 0.5000 0.8392  2 Co 2.50, 6 Cu 2.61-2.71, 2 Ir 2.65
Cu3 0.5000 0.0000 0.8392  2 Co 2.50, 6 Cu 2.61-2.71, 2 Ir 2.65
Cu4 0.5000 0.5000 0.3392  2 Co 2.50, 6 Cu 2.61-2.71, 2 Ir 2.65
Ir1 0.0000 0.0000 0.6645  2 Co 2.54, 6 Ir 2.61-2.71, 2 Cu 2.65
Ir2 0.0000 0.5000 0.1645  2 Co 2.54, 6 Ir 2.61-2.71, 2 Cu 2.65
Ir3 0.5000 0.0000 0.1645  2 Co 2.54, 6 Ir 2.61-2.71, 2 Cu 2.65
Ir4 0.5000 0.5000 0.6645  2 Co 2.54, 6 Ir 2.61-2.71, 2 Cu 2.65

Record 15
An optimized crystal structure of CoCuIr2. Source: Alexandria via LeMat-Bulk, functional PBE-GGA.

Calculated values
- Offset from the most stable computed form: 203 meV per atom
- Magnetization: 1.87 μB/cell
- Electronic total energy: -27.841 eV/cell
- SG: P4/mmm, No. 123
- N(E_F): 8.1 states/eV/cell
- Energy relative to the elements: 0.27 eV per atom

Cell lengths 4.3199, 4.3199, 2.8000 Å; angles 90.00, 90.00, 90.00 degrees
Closest atoms and distances in Å follow each position.
Positions (direct):
Co1 0.0000 0.0000 0.0000  8 Ir 2.57, 2 Co 2.80
Cu1 0.5000 0.5000 0.0000  8 Ir 2.57, 2 Cu 2.80
Ir1 0.0000 0.5000 0.5000  4 Co 2.57, 4 Cu 2.57, 2 Ir 2.80
Ir2 0.5000 0.0000 0.5000  4 Co 2.57, 4 Cu 2.57, 2 Ir 2.80